ScCrPt after structural relaxation, computed with PBEsol.

## Properties
- M_tot (μB per formula unit) = 4.199
- E_tot (eV per atom) = -7.696
- DOS at the Fermi energy (states/eV per cell) = 10.58
- volume (Å³ per cell) = 228

Lattice parameters (Å, degrees): 6.1127 6.1127 6.1127 90.00 90.00 90.00
Closest atoms and distances in Å follow each position.
Fractional coordinates of all 12 atoms:
Sc1 0.0000 0.0000 0.0000  4 Cr 2.65, 4 Pt 2.65
Sc2 0.0000 0.5000 0.5000  4 Cr 2.65, 4 Pt 2.65
Sc3 0.5000 0.0000 0.5000  4 Cr 2.65, 4 Pt 2.65
Sc4 0.5000 0.5000 0.0000  4 Cr 2.65, 4 Pt 2.65
Cr1 0.2500 0.2500 0.2500  4 Sc 2.65
Cr2 0.2500 0.7500 0.7500  4 Sc 2.65
Cr3 0.7500 0.2500 0.7500  4 Sc 2.65
Cr4 0.7500 0.7500 0.2500  4 Sc 2.65
Pt1 0.2500 0.2500 0.7500  4 Sc 2.65
Pt2 0.2500 0.7500 0.2500  4 Sc 2.65
Pt3 0.7500 0.2500 0.2500  4 Sc 2.65
Pt4 0.7500 0.7500 0.7500  4 Sc 2.65

BeNi2Ru after structural relaxation, computed with PBEsol.

## Properties
- M_tot (μB per formula unit) = 0.000
- E_tot (eV per atom) = -6.776
- DOS at the Fermi energy (states/eV per cell) = 2.97
- volume (Å³ per cell) = 41

Lattice parameters (Å, degrees): 2.5344 2.5344 6.3951 90.00 90.00 90.00
Closest atoms and distances in Å follow each position.
Fractional coordinates of all 4 atoms:
Be1 0.0000 0.0000 0.0000  8 Ni 2.24
Ni1 0.5000 0.5000 0.2096  4 Be 2.24
Ni2 0.5000 0.5000 0.7904  4 Be 2.24
Ru1 0.0000 0.0000 0.5000  4 Ru 2.53, 8 Ni 2.58

Ni3TeW after structural relaxation, computed with PBEsol.

## Properties
- formation energy from raw total energies (eV per formula unit) = 6.7
- M_tot (μB per formula unit) = 0.000
- E_tot (eV per atom) = -5.824
- DOS at the Fermi energy (states/eV per cell) = 4.75
- volume (Å³ per cell) = 91

Lattice parameters (Å, degrees): 4.5016 4.5016 4.5016 90.00 90.00 90.00
Closest atoms and distances in Å follow each position.
Fractional coordinates of all 5 atoms:
Ni1 0.0000 0.0000 0.5000  2 W 2.25
Ni2 0.0000 0.5000 0.0000  2 W 2.25
Ni3 0.5000 0.0000 0.0000  2 W 2.25
Te1 0.5000 0.5000 0.5000  12 Ni 3.18
W1 0.0000 0.0000 0.0000  6 Ni 2.25

MnZn2 after structural relaxation, computed with PBEsol.

## Properties
- M_tot (μB per formula unit) = 2.501
- E_tot (eV per atom) = -4.265
- DOS at the Fermi energy (states/eV per cell) = 8.31
- volume (Å³ per cell) = 154

Lattice parameters (Å, degrees): 11.6069 11.6069 11.6069 161.70 161.70 25.99
Closest atoms and distances in Å follow each position.
Fractional coordinates of all 12 atoms:
Mn1 0.2924 0.5424 0.7500  10 Zn 2.61-2.64, 2 Mn 2.66
Mn2 0.4576 0.7076 0.7500  10 Zn 2.61-2.64, 2 Mn 2.66
Mn3 0.5424 0.2924 0.2500  10 Zn 2.61-2.64, 2 Mn 2.66
Mn4 0.7076 0.4576 0.2500  10 Zn 2.61-2.64, 2 Mn 2.66
Zn1 0.0394 0.7894 0.2500  6 Zn 2.57-2.69, 6 Mn 2.61
Zn2 0.1259 0.3759 0.7500  8 Zn 2.61-2.69, 4 Mn 2.61-2.64
Zn3 0.2106 0.9606 0.2500  6 Zn 2.57-2.69, 6 Mn 2.61
Zn4 0.3759 0.1259 0.2500  8 Zn 2.61-2.69, 4 Mn 2.61-2.64
Zn5 0.6241 0.8741 0.7500  8 Zn 2.61-2.69, 4 Mn 2.61-2.64
Zn6 0.7894 0.0394 0.7500  6 Zn 2.57-2.69, 6 Mn 2.61
Zn7 0.8741 0.6241 0.2500  8 Zn 2.61-2.69, 4 Mn 2.61-2.64
Zn8 0.9606 0.2106 0.7500  6 Zn 2.57-2.69, 6 Mn 2.61

La2AgGe2 after structural relaxation, computed with PBEsol.

## Properties
- M_tot (μB per formula unit) = 0.000
- E_tot (eV per atom) = -5.470
- DOS at the Fermi energy (states/eV per cell) = 5.95
- volume (Å³ per cell) = 241

Lattice parameters (Å, degrees): 7.3254 7.3254 4.4900 90.00 90.00 90.00
Closest atoms and distances in Å follow each position.
Fractional coordinates of all 10 atoms:
La1 0.1767 0.3233 0.0000  6 Ge 3.05-3.17
La2 0.3233 0.8233 0.0000  6 Ge 3.05-3.17
La3 0.6767 0.1767 0.0000  6 Ge 3.05-3.17
La4 0.8233 0.6767 0.0000  6 Ge 3.05-3.17
Ag1 0.0000 0.0000 0.5000  4 Ge 2.90
Ag2 0.5000 0.5000 0.5000  4 Ge 2.90
Ge1 0.1236 0.6236 0.5000  1 Ge 2.56
Ge2 0.3764 0.1236 0.5000  1 Ge 2.56
Ge3 0.6236 0.8764 0.5000  1 Ge 2.56
Ge4 0.8764 0.3764 0.5000  1 Ge 2.56

LiTaW after structural relaxation, computed with PBEsol.

## Properties
- M_tot (μB per formula unit) = 0.000
- E_tot (eV per atom) = -8.988
- DOS at the Fermi energy (states/eV per cell) = 2.10
- volume (Å³ per cell) = 50

Lattice parameters (Å, degrees): 2.7602 2.7602 7.5695 90.00 90.00 120.00
Closest atoms and distances in Å follow each position.
Fractional coordinates of all 3 atoms:
Li1 0.0000 0.0000 0.0000  6 Li 2.76, 3 W 2.94, 3 Ta 3.05
Ta1 0.3333 0.6667 0.6566  6 Ta 2.76, 3 W 2.97, 3 Li 3.05
W1 0.6667 0.3333 0.3260  6 W 2.76, 3 Li 2.94, 3 Ta 2.97

CoOsCl2 after structural relaxation, computed with PBEsol.

## Properties
- formation energy from raw total energies (eV per formula unit) = 4.3
- M_tot (μB per formula unit) = 2.269
- E_tot (eV per atom) = -4.910
- DOS at the Fermi energy (states/eV per cell) = 3.49
- volume (Å³ per cell) = 54

Lattice parameters (Å, degrees): 4.2832 4.2832 2.9618 90.00 90.00 90.00
Closest atoms and distances in Å follow each position.
Fractional coordinates of all 4 atoms:
Co1 0.0000 0.0000 0.0000  8 Cl 2.60
Os1 0.5000 0.5000 0.0000  8 Cl 2.60
Cl1 0.0000 0.5000 0.5000  4 Co 2.60, 4 Os 2.60
Cl2 0.5000 0.0000 0.5000  4 Co 2.60, 4 Os 2.60

Hf2RuCF after structural relaxation, computed with PBEsol.

## Properties
- formation energy from raw total energies (eV per formula unit) = 1.8
- M_tot (μB per formula unit) = 0.000
- E_tot (eV per atom) = -8.195
- DOS at the Fermi energy (states/eV per cell) = 1.85
- volume (Å³ per cell) = 70

Lattice parameters (Å, degrees): 4.3343 4.3343 3.7371 90.00 90.00 90.00
Closest atoms and distances in Å follow each position.
Fractional coordinates of all 5 atoms:
Hf1 0.0000 0.5000 0.0000  2 F 2.17
Hf2 0.5000 0.0000 0.0000  2 F 2.17
Ru1 0.0000 0.0000 0.5000  8 Hf 2.86, 4 C 3.06
C1 0.5000 0.5000 0.5000  2 F 1.87
F1 0.5000 0.5000 0.0000  2 C 1.87

- Which formula does entry 4 have?
  MnZn2

- Look up the E_tot of the second one.
  -6.776 eV per atom

- Which formula does entry 2 have?
  BeNi2Ru

- What is the M_tot in the eighth record?
  0.000 μB per formula unit